This record from Alexandria via LeMat-Bulk describes a relaxed Nb2NiAu2 crystal. The functional is GGA-PBEsol.

Unit cell a=7.2738 b=7.2738 c=7.2738 alpha=150.93 beta=150.93 gamma=41.58
Last column: nearest neighbours and their distance in Å.
Atoms (fractional coordinates):
Nb1 0.0849 0.0849 0.0000  1 Nb 2.31
Nb2 0.9151 0.9151 0.0000  1 Nb 2.31
Ni1 0.5000 0.5000 0.0000  8 Nb 2.83
Au1 0.2500 0.7500 0.5000  4 Au 2.58
Au2 0.7500 0.2500 0.5000  4 Au 2.58

ρ in g/cm³: 11.693
E_tot in eV per atom: -6.589

=====

This record from Alexandria via LeMat-Bulk describes a relaxed YPbBr crystal. The functional is GGA-PBEsol.

Unit cell a=5.2346 b=5.2346 c=5.2346 alpha=60.00 beta=60.00 gamma=60.00
Last column: nearest neighbours and their distance in Å.
Atoms (fractional coordinates):
Y1 0.0000 0.0000 0.0000  4 Pb 3.21
Pb1 0.2500 0.2500 0.2500  4 Br 3.21, 4 Y 3.21
Br1 0.5000 0.5000 0.5000  4 Pb 3.21

ρ in g/cm³: 6.156
ΔE_f (raw) in eV per atom: 0.054
E_tot in eV per atom: -4.177

=====

This record from Alexandria via LeMat-Bulk describes a relaxed LaMgZr crystal. The functional is GGA-PBEsol.

Unit cell a=4.9929 b=4.9929 c=4.9929 alpha=60.00 beta=60.00 gamma=60.00
Last column: nearest neighbours and their distance in Å.
Atoms (fractional coordinates):
La1 0.0000 0.0000 0.0000  4 Zr 3.06
Mg1 0.5000 0.5000 0.5000  4 Zr 3.06
Zr1 0.2500 0.2500 0.2500  4 La 3.06, 4 Mg 3.06

ρ in g/cm³: 4.801
Distance to the lowest polymorph of the same formula in eV/atom: 0.693
E_tot in eV per atom: -4.614

=====

This record from Alexandria via LeMat-Bulk describes a relaxed CdNiSb crystal. The functional is GGA-PBEsol.

Unit cell a=6.4576 b=6.4576 c=6.4576 alpha=152.56 beta=152.56 gamma=39.19
Last column: nearest neighbours and their distance in Å.
Atoms (fractional coordinates):
Cd1 0.0000 0.0000 0.0000  4 Ni 2.75, 4 Cd 3.06
Ni1 0.6398 0.6398 0.0000  4 Sb 2.65, 4 Cd 2.75
Sb1 0.2655 0.2655 0.0000  4 Ni 2.65

ρ in g/cm³: 8.522
ΔE_f (raw) in eV per atom: 0.032
E_tot in eV per atom: -3.938

=====

This record from Alexandria via LeMat-Bulk describes a relaxed Y2InCl7 crystal. The functional is GGA-PBEsol.

Unit cell a=12.5768 b=6.8159 c=12.4883 alpha=90.00 beta=90.00 gamma=90.00
Last column: nearest neighbours and their distance in Å.
Atoms (fractional coordinates):
Y1 0.2351 0.2500 0.0331  7 Cl 2.67-2.75
Y2 0.2468 0.2500 0.3353  7 Cl 2.67-2.69
Y3 0.2532 0.7500 0.8353  7 Cl 2.67-2.69
Y4 0.2649 0.7500 0.5331  7 Cl 2.67-2.75
Y5 0.7351 0.2500 0.4669  7 Cl 2.67-2.75
Y6 0.7468 0.2500 0.1647  7 Cl 2.67-2.69
Y7 0.7532 0.7500 0.6647  7 Cl 2.67-2.69
Y8 0.7649 0.7500 0.9669  7 Cl 2.67-2.75
In1 0.0314 0.2500 0.7035  8 Cl 3.26-3.54
In2 0.4686 0.7500 0.2035  8 Cl 3.26-3.54
In3 0.5314 0.2500 0.7965  8 Cl 3.26-3.54
In4 0.9686 0.7500 0.2965  8 Cl 3.26-3.54
Cl1 0.1037 0.7500 0.6813  2 Y 2.69-2.75
Cl2 0.1150 0.0102 0.9134  2 Y 2.67-2.68
Cl3 0.1150 0.4898 0.9134  2 Y 2.67-2.68
Cl4 0.1267 0.0084 0.4537  2 Y 2.67-2.68
Cl5 0.1267 0.4916 0.4537  2 Y 2.67-2.68
Cl6 0.1692 0.0036 0.1866  2 Y 2.68-2.69
Cl7 0.1692 0.4964 0.1866  2 Y 2.68-2.69
Cl8 0.3308 0.5036 0.6866  2 Y 2.68-2.69
Cl9 0.3308 0.9964 0.6866  2 Y 2.68-2.69
Cl10 0.3733 0.5084 0.9537  2 Y 2.67-2.68
Cl11 0.3733 0.9916 0.9537  2 Y 2.67-2.68
Cl12 0.3850 0.5102 0.4134  2 Y 2.67-2.68
Cl13 0.3850 0.9898 0.4134  2 Y 2.67-2.68
Cl14 0.3963 0.2500 0.1813  2 Y 2.69-2.75
Cl15 0.6037 0.7500 0.8187  2 Y 2.69-2.75
Cl16 0.6150 0.0102 0.5866  2 Y 2.67-2.68
Cl17 0.6150 0.4898 0.5866  2 Y 2.67-2.68
Cl18 0.6267 0.0084 0.0463  2 Y 2.67-2.68
Cl19 0.6267 0.4916 0.0463  2 Y 2.67-2.68
Cl20 0.6692 0.0036 0.3134  2 Y 2.68-2.69
Cl21 0.6692 0.4964 0.3134  2 Y 2.68-2.69
Cl22 0.8308 0.5036 0.8134  2 Y 2.68-2.69
Cl23 0.8308 0.9964 0.8134  2 Y 2.68-2.69
Cl24 0.8733 0.5084 0.5463  2 Y 2.67-2.68
Cl25 0.8733 0.9916 0.5463  2 Y 2.67-2.68
Cl26 0.8850 0.5102 0.0866  2 Y 2.67-2.68
Cl27 0.8850 0.9898 0.0866  2 Y 2.67-2.68
Cl28 0.8963 0.2500 0.3187  2 Y 2.69-2.75

ρ in g/cm³: 3.355
ΔE_f (raw) in eV per atom: -1.995
E_tot in eV per atom: -5.064

=====

This record from Alexandria via LeMat-Bulk describes a relaxed SrSnO2 crystal. The functional is GGA-PBEsol.

Unit cell a=6.9778 b=6.9778 c=6.9778 alpha=30.02 beta=30.02 gamma=30.02
Last column: nearest neighbours and their distance in Å.
Atoms (fractional coordinates):
Sr1 0.0000 0.0000 0.0000  6 O 2.47
Sn1 0.5000 0.5000 0.5000  2 O 2.02
O1 0.3991 0.3991 0.3991  1 Sn 2.02
O2 0.6009 0.6009 0.6009  1 Sn 2.02

ρ in g/cm³: 5.254
ΔE_f (raw) in eV per atom: -1.769
E_tot in eV per atom: -5.919

=====

This record from Alexandria via LeMat-Bulk describes a relaxed YInCl2 crystal. The functional is GGA-PBEsol.

Unit cell a=3.2931 b=3.2931 c=9.2060 alpha=90.00 beta=90.00 gamma=90.00
Last column: nearest neighbours and their distance in Å.
Atoms (fractional coordinates):
Y1 0.0000 0.0000 0.0000  8 Cl 2.80
In1 0.0000 0.0000 0.5000  4 In 3.29
Cl1 0.5000 0.5000 0.1690  4 Y 2.80, 1 Cl 3.11
Cl2 0.5000 0.5000 0.8310  4 Y 2.80, 1 Cl 3.11

ρ in g/cm³: 4.568
Distance to the lowest polymorph of the same formula in eV/atom: 0.000
ΔE_f (raw) in eV per atom: -1.285
E_tot in eV per atom: -4.740

=====

This record from Alexandria via LeMat-Bulk describes a relaxed NaMg2TaAs crystal. The functional is GGA-PBEsol.

Unit cell a=4.6570 b=4.6570 c=5.1274 alpha=90.00 beta=90.00 gamma=90.00
Last column: nearest neighbours and their distance in Å.
Atoms (fractional coordinates):
Na1 0.0000 0.0000 0.0000  4 Mg 2.33, 2 Ta 2.56
Mg1 0.0000 0.5000 0.0000  2 Na 2.33
Mg2 0.5000 0.0000 0.0000  2 Na 2.33
Ta1 0.0000 0.0000 0.5000  2 Na 2.56
As1 0.5000 0.5000 0.5000  4 Ta 3.29, 8 Mg 3.46

ρ in g/cm³: 4.890
Distance to the lowest polymorph of the same formula in eV/atom: 0.998
E_tot in eV per atom: -2.963

=====

This record from Alexandria via LeMat-Bulk describes a relaxed BaMgCd3 crystal. The functional is GGA-PBEsol.

Unit cell a=6.2938 b=6.2938 c=6.2938 alpha=90.00 beta=90.00 gamma=90.00
Last column: nearest neighbours and their distance in Å.
Atoms (fractional coordinates):
Ba1 0.0000 0.0000 0.0000  6 Cd 3.15
Mg1 0.5000 0.5000 0.5000  12 Cd 4.45
Cd1 0.0000 0.0000 0.5000  2 Ba 3.15
Cd2 0.0000 0.5000 0.0000  2 Ba 3.15
Cd3 0.5000 0.0000 0.0000  2 Ba 3.15

ρ in g/cm³: 3.323
E_tot in eV per atom: -0.672

=====

This record from Alexandria via LeMat-Bulk describes a relaxed Re4Ru crystal. The functional is GGA-PBEsol.

Unit cell a=4.8656 b=4.8656 c=4.8656 alpha=109.47 beta=109.47 gamma=109.47
Last column: nearest neighbours and their distance in Å.
Atoms (fractional coordinates):
Re1 0.0000 0.0000 0.5000  2 Ru 2.43
Re2 0.0000 0.5000 0.0000  2 Ru 2.43
Re3 0.5000 0.0000 0.0000  2 Ru 2.43
Re4 0.5000 0.5000 0.5000  2 Ru 2.43
Ru1 0.0000 0.0000 0.0000  8 Re 2.43

ρ in g/cm³: 15.841
Distance to the lowest polymorph of the same formula in eV/atom: 0.812
E_tot in eV per atom: -10.908

=====

This record from Alexandria via LeMat-Bulk describes a relaxed LaInSb2 crystal. The functional is GGA-PBEsol.

Unit cell a=4.8976 b=4.8976 c=4.4471 alpha=90.00 beta=90.00 gamma=90.00
Last column: nearest neighbours and their distance in Å.
Atoms (fractional coordinates):
La1 0.0000 0.0000 0.0000  8 Sb 3.31, 4 In 3.46
In1 0.5000 0.5000 0.0000  8 Sb 3.31, 4 La 3.46
Sb1 0.0000 0.5000 0.5000  4 In 3.31, 4 La 3.31, 4 Sb 3.46
Sb2 0.5000 0.0000 0.5000  4 In 3.31, 4 La 3.31, 4 Sb 3.46

ρ in g/cm³: 7.741
ΔE_f (raw) in eV per atom: -0.670
E_tot in eV per atom: -5.031

=====

This record from Alexandria via LeMat-Bulk describes a relaxed LiLaAg2 crystal. The functional is GGA-PBEsol.

Unit cell a=3.3768 b=3.3768 c=7.1820 alpha=90.00 beta=90.00 gamma=90.00
Last column: nearest neighbours and their distance in Å.
Atoms (fractional coordinates):
Li1 0.0000 0.0000 0.0000  8 Ag 2.77
La1 0.0000 0.0000 0.5000  8 Ag 3.24, 4 La 3.38, 2 Li 3.59
Ag1 0.5000 0.5000 0.1951  4 Li 2.77, 1 Ag 2.80
Ag2 0.5000 0.5000 0.8049  4 Li 2.77, 1 Ag 2.80

ρ in g/cm³: 7.332
E_tot in eV per atom: -3.669

=====

This record from Alexandria via LeMat-Bulk describes a relaxed BeZnTe2 crystal. The functional is GGA-PBEsol.

Unit cell a=7.9364 b=7.9364 c=7.9364 alpha=29.17 beta=29.17 gamma=29.17
Last column: nearest neighbours and their distance in Å.
Atoms (fractional coordinates):
Be1 0.0000 0.0000 0.0000  6 Te 2.66
Zn1 0.5000 0.5000 0.5000  2 Te 2.47
Te1 0.3915 0.3915 0.3915  1 Zn 2.47, 3 Be 2.66
Te2 0.6085 0.6085 0.6085  1 Zn 2.47, 3 Be 2.66

ρ in g/cm³: 5.208
Distance to the lowest polymorph of the same formula in eV/atom: 0.501
ΔE_f (raw) in eV per atom: 0.133
E_tot in eV per atom: -3.025

=====

This record from Alexandria via LeMat-Bulk describes a relaxed Sb3P crystal. The functional is GGA-PBEsol.

Unit cell a=3.2520 b=3.2520 c=9.4192 alpha=90.00 beta=90.00 gamma=110.82
Last column: nearest neighbours and their distance in Å.
Atoms (fractional coordinates):
Sb1 0.0000 0.0000 0.0000  8 Sb 3.24-3.25
Sb2 0.5000 0.5000 0.2832  2 P 2.75
Sb3 0.5000 0.5000 0.7168  2 P 2.75
P1 0.0000 0.0000 0.5000  4 Sb 2.75

ρ in g/cm³: 7.067
Distance to the lowest polymorph of the same formula in eV/atom: 0.221
ΔE_f (raw) in eV per atom: 0.327
E_tot in eV per atom: -4.539

=====

This record from Alexandria via LeMat-Bulk describes a relaxed TlReSe2 crystal. The functional is GGA-PBEsol.

Unit cell a=3.1177 b=3.1177 c=9.8267 alpha=90.00 beta=90.00 gamma=120.48
Last column: nearest neighbours and their distance in Å.
Atoms (fractional coordinates):
Tl1 0.0000 0.0000 0.0000  6 Tl 3.09-3.12, 4 Se 3.33
Re1 0.0000 0.0000 0.5000  4 Se 2.50
Se1 0.5000 0.5000 0.3000  2 Re 2.50
Se2 0.5000 0.5000 0.7000  2 Re 2.50

ρ in g/cm³: 11.065
Distance to the lowest polymorph of the same formula in eV/atom: 0.000
ΔE_f (raw) in eV per atom: 0.385
E_tot in eV per atom: -5.530

=====

This record from Alexandria via LeMat-Bulk describes a relaxed MgRh4 crystal. The functional is GGA-PBEsol.

Unit cell a=4.6798 b=4.6798 c=4.6798 alpha=99.53 beta=99.53 gamma=131.98
Last column: nearest neighbours and their distance in Å.
Atoms (fractional coordinates):
Mg1 0.0000 0.0000 0.0000  12 Rh 2.69-2.73
Rh1 0.1933 0.5998 0.7931  9 Rh 2.63-2.76, 3 Mg 2.69-2.73
Rh2 0.4002 0.1933 0.5935  9 Rh 2.63-2.76, 3 Mg 2.69-2.73
Rh3 0.5998 0.8067 0.4065  9 Rh 2.63-2.76, 3 Mg 2.69-2.73
Rh4 0.8067 0.4002 0.2069  9 Rh 2.63-2.76, 3 Mg 2.69-2.73

ρ in g/cm³: 10.400
E_tot in eV per atom: -6.991

=====

This record from Alexandria via LeMat-Bulk describes a relaxed TiZnS2 crystal. The functional is GGA-PBEsol.

Unit cell a=7.5342 b=7.5342 c=7.5342 alpha=26.94 beta=26.94 gamma=26.94
Last column: nearest neighbours and their distance in Å.
Atoms (fractional coordinates):
Ti1 0.0000 0.0000 0.0000  2 S 2.26
Zn1 0.5000 0.5000 0.5000  6 S 2.45
S1 0.1037 0.1037 0.1037  1 Ti 2.26, 3 Zn 2.45
S2 0.8963 0.8963 0.8963  1 Ti 2.26, 3 Zn 2.45

ρ in g/cm³: 3.804
Distance to the lowest polymorph of the same formula in eV/atom: 0.462
ΔE_f (raw) in eV per atom: -0.286
E_tot in eV per atom: -4.954

=====

This record from Alexandria via LeMat-Bulk describes a relaxed Be2RhAu crystal. The functional is GGA-PBEsol.

Unit cell a=2.8612 b=2.8612 c=5.5480 alpha=90.00 beta=90.00 gamma=90.00
Last column: nearest neighbours and their distance in Å.
Atoms (fractional coordinates):
Be1 0.0000 0.0000 0.2177  4 Rh 2.36, 1 Be 2.42, 4 Au 2.56
Be2 0.0000 0.0000 0.7823  4 Rh 2.36, 1 Be 2.42, 4 Au 2.56
Rh1 0.5000 0.5000 0.0000  8 Be 2.36
Au1 0.5000 0.5000 0.5000  8 Be 2.56, 2 Rh 2.77, 4 Au 2.86

ρ in g/cm³: 11.623
Distance to the lowest polymorph of the same formula in eV/atom: 0.000
E_tot in eV per atom: -5.509

=====

This record from Alexandria via LeMat-Bulk describes a relaxed MgRhSe2 crystal. The functional is GGA-PBEsol.

Unit cell a=6.3180 b=6.3180 c=6.3180 alpha=34.89 beta=34.89 gamma=34.89
Last column: nearest neighbours and their distance in Å.
Atoms (fractional coordinates):
Mg1 0.0000 0.0000 0.0000  6 Se 2.75
Rh1 0.5000 0.5000 0.5000  6 Se 2.54
Se1 0.2392 0.2392 0.2392  3 Rh 2.54, 3 Mg 2.75
Se2 0.7608 0.7608 0.7608  3 Rh 2.54, 3 Mg 2.75

ρ in g/cm³: 6.428
ΔE_f (raw) in eV per atom: -0.593
E_tot in eV per atom: -4.982

=====

This record from Alexandria via LeMat-Bulk describes a relaxed Tm2IrRh crystal. The functional is GGA-PBEsol.

Unit cell a=4.7057 b=4.7057 c=4.7057 alpha=60.00 beta=60.00 gamma=60.00
Last column: nearest neighbours and their distance in Å.
Atoms (fractional coordinates):
Tm1 0.2500 0.2500 0.2500  4 Rh 2.88, 4 Ir 2.88
Tm2 0.7500 0.7500 0.7500  4 Rh 2.88, 4 Ir 2.88
Ir1 0.0000 0.0000 0.0000  8 Tm 2.88
Rh1 0.5000 0.5000 0.5000  8 Tm 2.88

ρ in g/cm³: 14.265
E_tot in eV per atom: -7.877

=====

For the records above, the corresponding M_tot values read 0.00, 0.47, 1.20, 0.00, 0.00, 0.00, 0.00, 0.00, 0.00, 0.00, 0.00, 0.00, 0.00, 0.00, 0.00, 0.00, 0.00, 0.00, 0.00, 0.00 μB per cell.
For the records above, the corresponding Fermi-level density of states values read 1.06, 1.77, 1.62, 0.55, 0.00, 0.12, 0.37, 0.73, 0.86, 1.47, 0.56, 0.62, 0.27, 0.60, 0.84, 0.95, 0.41, 0.17, 0.43, 0.36 states/eV per atom.